Entry 1:
DFT (meta-GGA SCAN) results for a crystal of LaSi2Ni relaxed with PBEsol.

Cell and atoms, written as CIF:
```
data_LaSi2Ni
_space_group_name_H-M_alt 'P 4/m m m'
_space_group_IT_number 123
_space_group_name_Hall '-P 4 2'
_cell_length_a 3.1198
_cell_length_b 3.1198
_cell_length_c 6.8425
_cell_angle_alpha 90.00
_cell_angle_beta 90.00
_cell_angle_gamma 90.00
loop_
_atom_site_label
_atom_site_type_symbol
_atom_site_fract_x
_atom_site_fract_y
_atom_site_fract_z
La1 La 0.0000 0.0000 0.0000
Si1 Si 0.5000 0.5000 0.3226
Ni1 Ni 0.0000 0.0000 0.5000
```

## Properties
V ... 16.6 Å³/atom
Energy relative to the elements, uncorrected ... -24 kJ per mole of atoms
N(E_F) ... 3.5 states/eV/f.u.
Final energy ... -80.29 eV for the cell shown

=====

Entry 2:
DFT (meta-GGA SCAN) results for a crystal of LaSi2Ni relaxed with PBEsol.

Cell and atoms, written as CIF:
```
data_LaSi2Ni
_space_group_name_H-M_alt 'R -3 m'
_space_group_IT_number 166
_space_group_name_Hall '-R 3 2"'
_cell_length_a 3.9076
_cell_length_b 3.9076
_cell_length_c 16.1120
_cell_angle_alpha 90.00
_cell_angle_beta 90.00
_cell_angle_gamma 120.00
loop_
_atom_site_label
_atom_site_type_symbol
_atom_site_fract_x
_atom_site_fract_y
_atom_site_fract_z
La1 La 0.0000 0.0000 0.0000
Si1 Si 0.0000 0.0000 0.2065
Ni1 Ni 0.0000 0.0000 0.5000
```

## Properties
V ... 17.8 Å³/atom
Energy relative to the elements, uncorrected ... -77 kJ per mole of atoms
N(E_F) ... 1.5 states/eV/f.u.
Final energy ... -247.48 eV for the cell shown

=====

Entry 3:
DFT (meta-GGA SCAN) results for a crystal of LaSi2Ni2 relaxed with PBEsol.

Cell and atoms, written as CIF:
```
data_LaSi2Ni2
_space_group_name_H-M_alt 'I 4/m m m'
_space_group_IT_number 139
_space_group_name_Hall '-I 4 2'
_cell_length_a 4.0715
_cell_length_b 4.0715
_cell_length_c 9.5619
_cell_angle_alpha 90.00
_cell_angle_beta 90.00
_cell_angle_gamma 90.00
loop_
_atom_site_label
_atom_site_type_symbol
_atom_site_fract_x
_atom_site_fract_y
_atom_site_fract_z
La1 La 0.0000 0.0000 0.0000
Si1 Si 0.0000 0.0000 0.3667
Ni1 Ni 0.0000 0.5000 0.2500
```

## Properties
V ... 15.9 Å³/atom
Energy relative to the elements, uncorrected ... -75 kJ per mole of atoms
N(E_F) ... 4.1 states/eV/f.u.
Final energy ... -198.74 eV for the cell shown

=====

Entry 4:
DFT (meta-GGA SCAN) results for a crystal of LaSiNi4 relaxed with PBEsol.

Cell and atoms, written as CIF:
```
data_LaSiNi4
_space_group_name_H-M_alt 'C m m m'
_space_group_IT_number 65
_space_group_name_Hall '-C 2 2'
_cell_length_a 5.1533
_cell_length_b 8.1740
_cell_length_c 3.9387
_cell_angle_alpha 90.00
_cell_angle_beta 90.00
_cell_angle_gamma 90.00
loop_
_atom_site_label
_atom_site_type_symbol
_atom_site_fract_x
_atom_site_fract_y
_atom_site_fract_z
La1 La 0.0000 0.0000 0.0000
Si1 Si 0.0000 0.5000 0.5000
Ni1 Ni 0.0000 0.3412 0.0000
Ni2 Ni 0.2500 0.2500 0.5000
```

## Properties
V ... 13.8 Å³/atom
Energy relative to the elements, uncorrected ... -49 kJ per mole of atoms
N(E_F) ... 3.5 states/eV/f.u.
Final energy ... -241.76 eV for the cell shown

=====

Entry 5:
DFT (meta-GGA SCAN) results for a crystal of LaSi2Ni relaxed with PBEsol.

Cell and atoms, written as CIF:
```
data_LaSi2Ni
_space_group_name_H-M_alt 'P m m 2'
_space_group_IT_number 25
_cell_length_a 4.1072
_cell_length_b 4.3849
_cell_length_c 4.4581
_cell_angle_alpha 90.00
_cell_angle_beta 90.00
_cell_angle_gamma 90.00
loop_
_space_group_symop_operation_xyz
'x,y,z'
'-x,-y,z'
'-x,y,z'
'x,-y,z'
loop_
_atom_site_label
_atom_site_type_symbol
_atom_site_fract_x
_atom_site_fract_y
_atom_site_fract_z
La1 La 0.0000 0.0000 0.0000
Si1 Si 0.0000 0.5000 0.5062
Si2 Si 0.5000 0.5000 0.2119
Ni1 Ni 0.5000 0.5000 0.7169
```

## Properties
V ... 20.1 Å³/atom
Energy relative to the elements, uncorrected ... -45 kJ per mole of atoms
N(E_F) ... 2.4 states/eV/f.u.
Final energy ... -81.19 eV for the cell shown

=====

Entry 6:
DFT (meta-GGA SCAN) results for a crystal of LaSi2Ni relaxed with PBEsol.

Cell and atoms, written as CIF:
```
data_LaSi2Ni
_space_group_name_H-M_alt 'P 4 m m'
_space_group_IT_number 99
_cell_length_a 3.1850
_cell_length_b 3.1850
_cell_length_c 6.6736
_cell_angle_alpha 90.00
_cell_angle_beta 90.00
_cell_angle_gamma 90.00
loop_
_space_group_symop_operation_xyz
'x,y,z'
'-y,x,z'
'-x,-y,z'
'y,-x,z'
'-x,y,z'
'y,x,z'
'x,-y,z'
'-y,-x,z'
loop_
_atom_site_label
_atom_site_type_symbol
_atom_site_fract_x
_atom_site_fract_y
_atom_site_fract_z
La1 La 0.0000 0.0000 0.0000
Si1 Si 0.0000 0.0000 0.4735
Si2 Si 0.5000 0.5000 0.6845
Ni1 Ni 0.5000 0.5000 0.3429
```

## Properties
V ... 16.9 Å³/atom
Energy relative to the elements, uncorrected ... -22 kJ per mole of atoms
N(E_F) ... 1.1 states/eV/f.u.
Final energy ... -80.24 eV for the cell shown

=====

Entry 7:
DFT (meta-GGA SCAN) results for a crystal of LaSi2Ni relaxed with PBEsol.

Cell and atoms, written as CIF:
```
data_LaSi2Ni
_space_group_name_H-M_alt 'C m c m'
_space_group_IT_number 63
_space_group_name_Hall '-C 2c 2'
_cell_length_a 4.1718
_cell_length_b 16.4358
_cell_length_c 4.0779
_cell_angle_alpha 90.00
_cell_angle_beta 90.00
_cell_angle_gamma 90.00
loop_
_atom_site_label
_atom_site_type_symbol
_atom_site_fract_x
_atom_site_fract_y
_atom_site_fract_z
La1 La 0.0000 0.1073 0.2500
Si1 Si 0.0000 0.2497 0.7500
Si2 Si 0.0000 0.4590 0.2500
Ni1 Ni 0.0000 0.3179 0.2500
```

## Properties
V ... 17.5 Å³/atom
Energy relative to the elements, uncorrected ... -81 kJ per mole of atoms
N(E_F) ... 1.7 states/eV/f.u.
Final energy ... -330.68 eV for the cell shown

=====

Entry 8:
DFT (meta-GGA SCAN) results for a crystal of La2Si3Ni relaxed with PBEsol.

Cell and atoms, written as CIF:
```
data_La2Si3Ni
_space_group_name_H-M_alt 'P -6 m 2'
_space_group_IT_number 187
_space_group_name_Hall 'P -6 2'
_cell_length_a 4.0488
_cell_length_b 4.0488
_cell_length_c 8.5699
_cell_angle_alpha 90.00
_cell_angle_beta 90.00
_cell_angle_gamma 120.00
loop_
_atom_site_label
_atom_site_type_symbol
_atom_site_fract_x
_atom_site_fract_y
_atom_site_fract_z
La1 La 0.0000 0.0000 0.2430
Si1 Si 0.3333 0.6667 0.5000
Si2 Si 0.6667 0.3333 0.0000
Si3 Si 0.6667 0.3333 0.5000
Ni1 Ni 0.3333 0.6667 0.0000
```

## Properties
V ... 20.3 Å³/atom
Energy relative to the elements, uncorrected ... -68 kJ per mole of atoms
N(E_F) ... 5.1 states/eV/f.u.
Final energy ... -136.69 eV for the cell shown

=====

Entry 9:
DFT (meta-GGA SCAN) results for a crystal of La3Si7Ni3 relaxed with PBEsol.

Cell and atoms, written as CIF:
```
data_La3Si7Ni3
_space_group_name_H-M_alt 'A m m 2'
_space_group_IT_number 38
_cell_length_a 4.1709
_cell_length_b 4.1026
_cell_length_c 25.8916
_cell_angle_alpha 90.00
_cell_angle_beta 90.00
_cell_angle_gamma 90.00
loop_
_space_group_symop_operation_xyz
'x,y,z'
'-x,-y,z'
'-x,y,z'
'x,-y,z'
'x,y+1/2,z+1/2'
'-x,-y+1/2,z+1/2'
'-x,y+1/2,z+1/2'
'x,-y+1/2,z+1/2'
loop_
_atom_site_label
_atom_site_type_symbol
_atom_site_fract_x
_atom_site_fract_y
_atom_site_fract_z
La1 La 0.0000 0.0000 0.0000
La2 La 0.0000 0.0000 0.3673
La3 La 0.5000 0.0000 0.6847
Si1 Si 0.0000 0.0000 0.1481
Si2 Si 0.0000 0.0000 0.5915
Si3 Si 0.0000 0.0000 0.7773
Si4 Si 0.5000 0.0000 0.0920
Si5 Si 0.5000 0.0000 0.2769
Si6 Si 0.5000 0.0000 0.4612
Si7 Si 0.5000 0.0000 0.9088
Ni1 Ni 0.0000 0.0000 0.2351
Ni2 Ni 0.5000 0.0000 0.5527
Ni3 Ni 0.5000 0.0000 0.8194
```

## Properties
V ... 17.0 Å³/atom
Energy relative to the elements, uncorrected ... -75 kJ per mole of atoms
N(E_F) ... 3.9 states/eV/f.u.
Final energy ... -516.17 eV for the cell shown

=====

Entry 10:
DFT (meta-GGA SCAN) results for a crystal of LaSi2Ni9 relaxed with PBEsol.

Cell and atoms, written as CIF:
```
data_LaSi2Ni9
_space_group_name_H-M_alt 'I 41/a m d'
_space_group_IT_number 141
_cell_length_a 9.7301
_cell_length_b 9.7301
_cell_length_c 6.1436
_cell_angle_alpha 90.00
_cell_angle_beta 90.00
_cell_angle_gamma 90.00
loop_
_space_group_symop_operation_xyz
'x,y,z'
'-x,-y,-z'
'-y+1/4,x+3/4,z+1/4'
'y+1/4,-x+3/4,-z+1/4'
'-x+1/2,-y,z+1/2'
'x+1/2,y,-z+1/2'
'y+1/4,-x+1/4,z+3/4'
'-y+1/4,x+1/4,-z+3/4'
'x,-y,-z'
'-x,y,z'
'-y+1/4,-x+1/4,-z+3/4'
'y+1/4,x+1/4,z+3/4'
'-x+1/2,y,-z+1/2'
'x+1/2,-y,z+1/2'
'y+1/4,x+3/4,-z+1/4'
'-y+1/4,-x+3/4,z+1/4'
'x+1/2,y+1/2,z+1/2'
'-x+1/2,-y+1/2,-z+1/2'
'-y+3/4,x+1/4,z+3/4'
'y+3/4,-x+1/4,-z+3/4'
'-x,-y+1/2,z'
'x,y+1/2,-z'
'y+3/4,-x+3/4,z+1/4'
'-y+3/4,x+3/4,-z+1/4'
'x+1/2,-y+1/2,-z+1/2'
'-x+1/2,y+1/2,z+1/2'
'-y+3/4,-x+3/4,-z+1/4'
'y+3/4,x+3/4,z+1/4'
'-x,y+1/2,-z'
'x,-y+1/2,z'
'y+3/4,x+1/4,-z+3/4'
'-y+3/4,-x+1/4,z+3/4'
loop_
_atom_site_label
_atom_site_type_symbol
_atom_site_fract_x
_atom_site_fract_y
_atom_site_fract_z
La1 La 0.0000 0.2500 0.3750
Si1 Si 0.0000 0.0000 0.0000
Ni1 Ni 0.0000 0.2500 0.8750
Ni2 Ni 0.1249 0.0462 0.6883
```

## Properties
V ... 12.1 Å³/atom
Energy relative to the elements, uncorrected ... -43 kJ per mole of atoms
N(E_F) ... 9.3 states/eV/f.u.
Final energy ... -856.37 eV for the cell shown

=====

Entry 11:
DFT (meta-GGA SCAN) results for a crystal of LaNi5Sn relaxed with PBEsol.

Cell and atoms, written as CIF:
```
data_LaNi5Sn
_space_group_name_H-M_alt 'P 63/m m c'
_space_group_IT_number 194
_space_group_name_Hall '-P 6c 2c'
_cell_length_a 4.8683
_cell_length_b 4.8683
_cell_length_c 19.5929
_cell_angle_alpha 90.00
_cell_angle_beta 90.00
_cell_angle_gamma 120.00
loop_
_atom_site_label
_atom_site_type_symbol
_atom_site_fract_x
_atom_site_fract_y
_atom_site_fract_z
La1 La 0.0000 0.0000 0.0000
La2 La 0.3333 0.6667 0.2500
Ni1 Ni 0.0000 0.0000 0.2500
Ni2 Ni 0.1661 0.3322 0.6463
Ni3 Ni 0.3333 0.6667 0.5445
Ni4 Ni 0.3333 0.6667 0.7500
Sn1 Sn 0.3333 0.6667 0.0875
```

## Properties
V ... 14.4 Å³/atom
E_form ... -0.288 eV/atom
N(E_F) ... 5.1 states/eV/f.u.
Final energy ... -647.63 eV for the cell shown

=====

Entry 12:
DFT (meta-GGA SCAN) results for a crystal of SrLaNi4 relaxed with PBEsol.

Cell and atoms, written as CIF:
```
data_SrLaNi4
_space_group_name_H-M_alt 'F -4 3 m'
_space_group_IT_number 216
_space_group_name_Hall 'F -4 2 3'
_cell_length_a 7.2388
_cell_length_b 7.2388
_cell_length_c 7.2388
_cell_angle_alpha 90.00
_cell_angle_beta 90.00
_cell_angle_gamma 90.00
loop_
_atom_site_label
_atom_site_type_symbol
_atom_site_fract_x
_atom_site_fract_y
_atom_site_fract_z
Sr1 Sr 0.0000 0.0000 0.0000
La1 La 0.2500 0.2500 0.2500
Ni1 Ni 0.1247 0.1247 0.6247
```

## Properties
V ... 15.8 Å³/atom
E_form ... -0.086 eV/atom
N(E_F) ... 5.5 states/eV/f.u.
Final energy ... -522.35 eV for the cell shown